[1]
TlRh3C | meta-GGA SCAN | PBEsol geometry

Lattice parameters (Å, degrees): 4.0892 4.0892 4.0892 90.00 90.00 90.00
Element x y z (fractional)
Tl (0.0000, 0.0000, 0.0000)
Rh (0.0000, 0.5000, 0.5000)
Rh (0.5000, 0.0000, 0.5000)
Rh (0.5000, 0.5000, 0.0000)
C (0.5000, 0.5000, 0.5000)

Values from the calculation:
Size of the total moment   0.000 Bohr magnetons per cell
Symmetry   Pm-3m (221)
Crystal system   cubic
Energy relative to the elements   77 meV/atom


[2]
TlRhC2 | meta-GGA SCAN | PBEsol geometry

Lattice parameters (Å, degrees): 4.0727 4.0727 4.0727 60.00 60.00 60.00
Element x y z (fractional)
Tl (0.0000, 0.0000, 0.0000)
Rh (0.5000, 0.5000, 0.5000)
C (0.2500, 0.2500, 0.2500)
C (0.7500, 0.7500, 0.7500)

Values from the calculation:
Size of the total moment   0.000 Bohr magnetons per cell
Symmetry   Fm-3m (225)
Crystal system   cubic
Energy relative to the elements   2278 meV/atom


[3]
TmRh3C | meta-GGA SCAN | PBEsol geometry

Lattice parameters (Å, degrees): 4.0982 4.0982 4.0982 90.00 90.00 90.00
Element x y z (fractional)
Tm (0.0000, 0.0000, 0.0000)
Rh (0.0000, 0.5000, 0.5000)
Rh (0.5000, 0.0000, 0.5000)
Rh (0.5000, 0.5000, 0.0000)
C (0.5000, 0.5000, 0.5000)

Values from the calculation:
Size of the total moment   0.000 Bohr magnetons per cell
Symmetry   Pm-3m (221)
Crystal system   cubic
Energy relative to the elements   -620 meV/atom


[4]
RhW3C | meta-GGA SCAN | PBEsol geometry

Lattice parameters (Å, degrees): 4.0883 4.0883 4.0883 90.00 90.00 90.00
Element x y z (fractional)
Rh (0.0000, 0.0000, 0.0000)
W (0.0000, 0.5000, 0.5000)
W (0.5000, 0.0000, 0.5000)
W (0.5000, 0.5000, 0.0000)
C (0.5000, 0.5000, 0.5000)

Values from the calculation:
Size of the total moment   0.000 Bohr magnetons per cell
Symmetry   Pm-3m (221)
Crystal system   cubic
Energy relative to the elements   236 meV/atom


[5]
ZrRhW2C | meta-GGA SCAN | PBEsol geometry

Lattice parameters (Å, degrees): 4.0667 4.0667 4.4708 90.00 90.00 90.00
Element x y z (fractional)
Zr (0.0000, 0.0000, 0.0000)
Rh (0.5000, 0.5000, 0.0000)
W (0.0000, 0.5000, 0.5000)
W (0.5000, 0.0000, 0.5000)
C (0.0000, 0.0000, 0.5000)

Values from the calculation:
Size of the total moment   0.000 Bohr magnetons per cell
Symmetry   P4/mmm (123)
Crystal system   tetragonal
Energy relative to the elements   -73 meV/atom


[6]
Ru3C | meta-GGA SCAN | PBEsol geometry

Lattice parameters (Å, degrees): 3.6401 3.6401 3.6401 90.00 90.00 90.00
Element x y z (fractional)
Ru (0.0000, 0.0000, 0.5000)
Ru (0.0000, 0.5000, 0.0000)
Ru (0.5000, 0.0000, 0.0000)
C (0.5000, 0.5000, 0.5000)

Values from the calculation:
Size of the total moment   2.876 Bohr magnetons per cell
Symmetry   Pm-3m (221)
Crystal system   cubic
Energy relative to the elements   1452 meV/atom


Copy entry 1 word for word.
TlRh3C | meta-GGA SCAN | PBEsol geometry

Lattice parameters (Å, degrees): 4.0892 4.0892 4.0892 90.00 90.00 90.00
Element x y z (fractional)
Tl (0.0000, 0.0000, 0.0000)
Rh (0.0000, 0.5000, 0.5000)
Rh (0.5000, 0.0000, 0.5000)
Rh (0.5000, 0.5000, 0.0000)
C (0.5000, 0.5000, 0.5000)

Values from the calculation:
Size of the total moment   0.000 Bohr magnetons per cell
Symmetry   Pm-3m (221)
Crystal system   cubic
Energy relative to the elements   77 meV/atom